A relaxed BaCoTeO crystal. Source: the Open Quantum Materials Database, functional PBE+U.

Results
E_tot = -5.079 eV per atom

POSCAR file:
```
BaCoTeO
1.0
7.6911 0.0000 0.0000
0.0000 7.1438 0.0000
0.0000 0.0000 7.5327
Ba Co O Te
4 4 4 4
Cartesian
4.7742 0.9085 3.1671
0.9286 6.2352 3.1671
6.7625 0.9085 6.9334
2.9169 6.2352 6.9334
3.5135 2.5213 0.3543
7.3591 4.6225 0.3543
0.3320 2.5213 4.1206
4.1776 4.6225 4.1206
4.4116 0.9008 0.5407
0.5661 6.2430 0.5407
7.1251 0.9008 4.3071
3.2795 6.2430 4.3071
1.1295 2.7633 1.5875
4.9751 4.3805 1.5875
2.7161 2.7633 5.3539
6.5616 4.3805 5.3539
```